Compound: SrTe
Source: Alexandria
Functional: PBE-GGA
Structure: optimized geometry

The raw formation energy is -2.90 eV per formula unit. For the final energy, the calculation gives -0.284 Ry/atom.

CIF file:
```
data_SrTe
_chemical_formula_sum 'Sr6 Te6'
_cell_length_a 12.4779
_cell_length_b 12.4779
_cell_length_c 5.5842
_cell_angle_alpha 90.00
_cell_angle_beta 90.00
_cell_angle_gamma 120.00
_space_group_name_H-M_alt 'P 63/m'
_space_group_IT_number 176
_space_group_name_Hall '-P 6c'
loop_
_atom_site_label
_atom_site_fract_x
_atom_site_fract_y
_atom_site_fract_z
Sr1 0.0712 0.4112 0.2500
Te1 0.0786 0.6761 0.2500
```